A relaxed structure of Be3MoRu. Source: the Alexandria database, functional PBE. Values from VASP.

## Properties
Distance to the lowest polymorph of the same formula ... 0 meV per atom
ΔH_f (0 K) ... 0.734 eV per atom
Total magnetic moment ... 0.000 μB per formula unit

```
&SYSTEM
  ibrav = 0, nat = 5, ntyp = 3
/
ATOMIC_SPECIES
Be 9.01 Be.upf
Mo 95.94 Mo.upf
Ru 101.07 Ru.upf
CELL_PARAMETERS angstrom
4.004 0.000 0.000
0.000 4.004 0.000
0.000 0.000 4.004
ATOMIC_POSITIONS crystal
Be 0.000 0.000 0.500
Be 0.000 0.500 0.000
Be 0.500 0.000 0.000
Mo 0.500 0.500 0.500
Ru 0.000 0.000 0.000
```